No. 1
# CaHfPb2

A relaxed CaHfPb2 crystal (PBE, Alexandria).

Cell: 3.4415 3.4415 11.6860 Å, 81.53 81.53 60.00°
Each line ends with the local moment (μB).
Element x y z (fractional)
Pb (0.0934, 0.0934, 0.7198)  0.00
Pb (0.9066, 0.9066, 0.2802)  0.00
Ca (0.0000, 0.0000, 0.0000)  0.06
Hf (0.5000, 0.5000, 0.5000)  0.02

Computed properties:
SG	R-3m
excess energy over the best structure of this formula in the dataset	298	meV per atom



No. 2
# Hf4CoBi2

A relaxed Hf4CoBi2 crystal (PBE, Alexandria).

Cell: 4.1137 5.7763 7.1896 Å, 99.97 106.62 90.00°
Element x y z (fractional)
Hf (0.8924, 0.2991, 0.7847)
Hf (0.1076, 0.7009, 0.2153)
Hf (0.5584, 0.2751, 0.1169)
Hf (0.4416, 0.7249, 0.8831)
Co (0.0000, 0.0000, 0.0000)
Bi (0.7779, 0.7528, 0.5558)
Bi (0.2221, 0.2472, 0.4442)

Computed properties:
SG	C2/m
excess energy over the best structure of this formula in the dataset	270	meV per atom



no.,ΔE_f (eV/atom)
1,0.12
2,-0.05